[1]
{
  "formula": "Ac2PrSn3Rh4",
  "functional": "PBE-GGA",
  "state": "relaxed",
  "delta_e_f_kj_per_mol_atoms": -70.8,
  "dft_energy_ev_per_atom": -6.175,
  "spacegroup": "P-4m2",
  "lattice": [[4.554, 0.000, 0.000], [0.000, 4.554, 0.000], [0.000, 0.000, 11.604]],
  "species": ["Ac", "Ac", "Pr", "Sn", "Sn", "Sn", "Rh", "Rh", "Rh", "Rh"],
  "fractional_positions": [[0.000, 0.500, 0.233], [0.500, 0.000, 0.767], [0.000, 0.000, 0.500], [0.000, 0.500, 0.880], [0.500, 0.000, 0.120], [0.500, 0.500, 0.500], [0.000, 0.000, 0.000], [0.000, 0.500, 0.651], [0.500, 0.000, 0.349], [0.500, 0.500, 0.000]]
}

***

[2]
{
  "formula": "Ac2PrSn4Rh3",
  "functional": "PBE-GGA",
  "state": "relaxed",
  "delta_e_f_kj_per_mol_atoms": -64.0,
  "dft_energy_ev_per_atom": -5.770,
  "spacegroup": "P-4m2",
  "lattice": [[4.554, 0.000, 0.000], [0.000, 4.554, 0.000], [0.000, 0.000, 12.403]],
  "species": ["Ac", "Ac", "Pr", "Sn", "Sn", "Sn", "Sn", "Rh", "Rh", "Rh"],
  "fractional_positions": [[0.000, 0.500, 0.225], [0.500, 0.000, 0.775], [0.000, 0.000, 0.500], [0.000, 0.000, 0.000], [0.000, 0.500, 0.668], [0.500, 0.000, 0.332], [0.500, 0.500, 0.000], [0.000, 0.500, 0.882], [0.500, 0.000, 0.118], [0.500, 0.500, 0.500]]
}

***

[3]
{
  "formula": "AcPrTlRh",
  "functional": "PBE-GGA",
  "state": "relaxed",
  "delta_e_f_kj_per_mol_atoms": -31.4,
  "dft_energy_ev_per_atom": -4.977,
  "spacegroup": "F-43m",
  "lattice": [[0.000, 3.847, 3.847], [3.847, 0.000, 3.847], [3.847, 3.847, 0.000]],
  "species": ["Ac", "Pr", "Tl", "Rh"],
  "fractional_positions": [[0.000, 0.000, 0.000], [0.500, 0.500, 0.500], [0.750, 0.750, 0.750], [0.250, 0.250, 0.250]]
}

***

[4]
{
  "formula": "AcPrZnRh",
  "functional": "PBE-GGA",
  "state": "relaxed",
  "delta_e_f_kj_per_mol_atoms": -44.1,
  "dft_energy_ev_per_atom": -4.835,
  "e_above_lowest_polymorph_ev_per_atom": 0.0000,
  "spacegroup": "Amm2",
  "lattice": [[4.598, 0.000, 0.000], [0.000, 2.110, 5.527], [0.000, -2.110, 5.527]],
  "species": ["Ac", "Pr", "Zn", "Rh"],
  "fractional_positions": [[0.000, 0.000, 0.000], [0.500, 0.720, 0.720], [0.500, 0.421, 0.421], [0.000, 0.288, 0.288]]
}

***

[5]
{
  "formula": "AcPrZnRh",
  "functional": "PBE-GGA",
  "state": "relaxed",
  "delta_e_f_kj_per_mol_atoms": -38.3,
  "dft_energy_ev_per_atom": -4.775,
  "e_above_lowest_polymorph_ev_per_atom": 0.0603,
  "spacegroup": "F-43m",
  "lattice": [[0.000, 3.722, 3.722], [3.722, 0.000, 3.722], [3.722, 3.722, 0.000]],
  "species": ["Ac", "Pr", "Zn", "Rh"],
  "fractional_positions": [[0.000, 0.000, 0.000], [0.500, 0.500, 0.500], [0.250, 0.250, 0.250], [0.750, 0.750, 0.750]]
}

***

[6]
{
  "formula": "Ac3PrRu2",
  "functional": "PBE-GGA",
  "state": "relaxed",
  "delta_e_f_kj_per_mol_atoms": -14.2,
  "dft_energy_ev_per_atom": -6.090,
  "spacegroup": "C2/m",
  "lattice": [[8.745, -2.212, 0.000], [8.745, 2.212, 0.000], [-5.899, 0.000, 10.460]],
  "species": ["Ac", "Ac", "Ac", "Ac", "Ac", "Ac", "Pr", "Pr", "Ru", "Ru", "Ru", "Ru"],
  "fractional_positions": [[0.053, 0.053, 0.224], [0.213, 0.213, 0.597], [0.331, 0.331, 0.974], [0.669, 0.669, 0.026], [0.787, 0.787, 0.403], [0.947, 0.947, 0.776], [0.429, 0.429, 0.335], [0.571, 0.571, 0.665], [0.135, 0.135, 0.842], [0.382, 0.382, 0.575], [0.618, 0.618, 0.425], [0.865, 0.865, 0.158]]
}

***

[7]
{
  "formula": "AcPr4Ru2",
  "functional": "PBE-GGA",
  "state": "relaxed",
  "delta_e_f_kj_per_mol_atoms": -7.7,
  "dft_energy_ev_per_atom": -6.048,
  "spacegroup": "P2_1/m",
  "lattice": [[7.995, 0.000, 0.000], [0.000, 6.827, 0.000], [-3.215, 0.000, 7.688]],
  "species": ["Ac", "Ac", "Pr", "Pr", "Pr", "Pr", "Pr", "Pr", "Pr", "Pr", "Ru", "Ru", "Ru", "Ru"],
  "fractional_positions": [[0.018, 0.250, 0.164], [0.982, 0.750, 0.836], [0.249, 0.501, 0.587], [0.249, 0.999, 0.587], [0.323, 0.750, 0.256], [0.380, 0.250, 0.018], [0.620, 0.750, 0.982], [0.677, 0.250, 0.744], [0.751, 0.001, 0.413], [0.751, 0.499, 0.413], [0.017, 0.250, 0.732], [0.407, 0.250, 0.363], [0.593, 0.750, 0.637], [0.983, 0.750, 0.268]]
}

***

[8]
{
  "formula": "AcPr3Ru",
  "functional": "PBE-GGA",
  "state": "relaxed",
  "delta_e_f_kj_per_mol_atoms": 0.9,
  "dft_energy_ev_per_atom": -5.535,
  "e_above_lowest_polymorph_ev_per_atom": 0.1110,
  "spacegroup": "Pm-3m",
  "lattice": [[5.650, 0.000, 0.000], [0.000, 5.650, 0.000], [0.000, 0.000, 5.650]],
  "species": ["Ac", "Pr", "Pr", "Pr", "Ru"],
  "fractional_positions": [[0.000, 0.000, 0.000], [0.000, 0.500, 0.500], [0.500, 0.000, 0.500], [0.500, 0.500, 0.000], [0.500, 0.500, 0.500]]
}

***

[9]
{
  "formula": "Ac2PrRu",
  "functional": "PBE-GGA",
  "state": "relaxed",
  "delta_e_f_kj_per_mol_atoms": -12.7,
  "dft_energy_ev_per_atom": -5.700,
  "e_above_lowest_polymorph_ev_per_atom": 0.0000,
  "spacegroup": "Immm",
  "lattice": [[-2.140, 2.861, 6.088], [2.140, -2.861, 6.088], [2.140, 2.861, -6.088]],
  "species": ["Ac", "Ac", "Pr", "Ru"],
  "fractional_positions": [[0.163, 0.163, 0.000], [0.837, 0.837, 0.000], [0.500, 0.500, 0.000], [0.000, 0.500, 0.500]]
}

***

[10]
{
  "formula": "Ac2PrRu",
  "functional": "PBE-GGA",
  "state": "relaxed",
  "delta_e_f_kj_per_mol_atoms": -11.5,
  "dft_energy_ev_per_atom": -5.688,
  "e_above_lowest_polymorph_ev_per_atom": 0.0125,
  "spacegroup": "P2_1/m",
  "lattice": [[4.110, 0.000, 0.000], [0.000, 10.172, 0.000], [-2.051, 0.000, 6.553]],
  "species": ["Ac", "Ac", "Ac", "Ac", "Pr", "Pr", "Ru", "Ru"],
  "fractional_positions": [[0.142, 0.071, 0.284], [0.142, 0.429, 0.284], [0.858, 0.571, 0.716], [0.858, 0.929, 0.716], [0.405, 0.250, 0.811], [0.595, 0.750, 0.189], [0.247, 0.750, 0.495], [0.753, 0.250, 0.505]]
}

***

[11]
{
  "formula": "AcPr3Ru2",
  "functional": "PBE-GGA",
  "state": "relaxed",
  "delta_e_f_kj_per_mol_atoms": -1.2,
  "dft_energy_ev_per_atom": -6.179,
  "spacegroup": "C2/m",
  "lattice": [[8.090, -2.639, 0.000], [8.090, 2.639, 0.000], [-3.588, 0.000, 7.879]],
  "species": ["Ac", "Ac", "Pr", "Pr", "Pr", "Pr", "Pr", "Pr", "Ru", "Ru", "Ru", "Ru"],
  "fractional_positions": [[0.129, 0.129, 0.216], [0.871, 0.871, 0.784], [0.072, 0.072, 0.726], [0.318, 0.318, 0.012], [0.372, 0.372, 0.491], [0.628, 0.628, 0.509], [0.682, 0.682, 0.988], [0.928, 0.928, 0.274], [0.228, 0.228, 0.636], [0.491, 0.491, 0.846], [0.509, 0.509, 0.154], [0.772, 0.772, 0.364]]
}

***

[12]
{
  "formula": "AcPr3Ru",
  "functional": "PBE-GGA",
  "state": "relaxed",
  "delta_e_f_kj_per_mol_atoms": -9.8,
  "dft_energy_ev_per_atom": -5.646,
  "e_above_lowest_polymorph_ev_per_atom": 0.0000,
  "spacegroup": "C2/m",
  "lattice": [[6.215, -4.395, 0.000], [6.215, 4.395, 0.000], [-1.293, 0.000, 6.336]],
  "species": ["Ac", "Ac", "Pr", "Pr", "Pr", "Pr", "Pr", "Pr", "Ru", "Ru"],
  "fractional_positions": [[0.092, 0.092, 0.292], [0.908, 0.908, 0.708], [0.161, 0.577, 0.201], [0.357, 0.357, 0.693], [0.423, 0.839, 0.799], [0.577, 0.161, 0.201], [0.643, 0.643, 0.307], [0.839, 0.423, 0.799], [0.197, 0.197, 0.926], [0.803, 0.803, 0.074]]
}

***

[13]
{
  "formula": "Ac3PrRu",
  "functional": "PBE-GGA",
  "state": "relaxed",
  "delta_e_f_kj_per_mol_atoms": -13.4,
  "dft_energy_ev_per_atom": -5.415,
  "e_above_lowest_polymorph_ev_per_atom": 0.0000,
  "spacegroup": "C2/m",
  "lattice": [[6.300, -4.779, 0.000], [6.300, 4.779, 0.000], [-6.278, 0.000, 6.310]],
  "species": ["Ac", "Ac", "Ac", "Ac", "Ac", "Ac", "Pr", "Pr", "Ru", "Ru"],
  "fractional_positions": [[0.043, 0.043, 0.336], [0.046, 0.456, 0.215], [0.456, 0.046, 0.215], [0.544, 0.954, 0.785], [0.954, 0.544, 0.785], [0.957, 0.957, 0.664], [0.461, 0.461, 0.760], [0.539, 0.539, 0.240], [0.251, 0.251, 0.838], [0.749, 0.749, 0.162]]
}

***

[14]
{
  "formula": "Ac3PrRu",
  "functional": "PBE-GGA",
  "state": "relaxed",
  "delta_e_f_kj_per_mol_atoms": -2.0,
  "dft_energy_ev_per_atom": -5.297,
  "e_above_lowest_polymorph_ev_per_atom": 0.1182,
  "spacegroup": "Pm-3m",
  "lattice": [[5.798, 0.000, 0.000], [0.000, 5.798, 0.000], [0.000, 0.000, 5.798]],
  "species": ["Ac", "Ac", "Ac", "Pr", "Ru"],
  "fractional_positions": [[0.000, 0.000, 0.500], [0.000, 0.500, 0.000], [0.500, 0.000, 0.000], [0.500, 0.500, 0.500], [0.000, 0.000, 0.000]]
}

***

[15]
{
  "formula": "AcPr3Ru",
  "functional": "PBE-GGA",
  "state": "relaxed",
  "delta_e_f_kj_per_mol_atoms": -4.1,
  "dft_energy_ev_per_atom": -5.587,
  "e_above_lowest_polymorph_ev_per_atom": 0.0589,
  "spacegroup": "P2_1/c",
  "lattice": [[8.040, 0.000, 0.000], [0.000, 7.861, 0.000], [-2.803, 0.000, 10.430]],
  "species": ["Ac", "Ac", "Ac", "Ac", "Pr", "Pr", "Pr", "Pr", "Pr", "Pr", "Pr", "Pr", "Pr", "Pr", "Pr", "Pr", "Ru", "Ru", "Ru", "Ru"],
  "fractional_positions": [[0.198, 0.048, 0.252], [0.198, 0.452, 0.752], [0.802, 0.548, 0.248], [0.802, 0.952, 0.748], [0.086, 0.707, 0.032], [0.086, 0.793, 0.532], [0.302, 0.511, 0.377], [0.302, 0.989, 0.877], [0.398, 0.125, 0.599], [0.398, 0.375, 0.099], [0.602, 0.625, 0.901], [0.602, 0.875, 0.401], [0.698, 0.011, 0.123], [0.698, 0.489, 0.623], [0.914, 0.207, 0.468], [0.914, 0.293, 0.968], [0.452, 0.748, 0.609], [0.452, 0.752, 0.109], [0.548, 0.248, 0.891], [0.548, 0.252, 0.391]]
}

***

[16]
{
  "formula": "Ac2Pr3Ru2",
  "functional": "PBE-GGA",
  "state": "relaxed",
  "delta_e_f_kj_per_mol_atoms": -16.1,
  "dft_energy_ev_per_atom": -6.039,
  "spacegroup": "C2/m",
  "lattice": [[6.407, -2.034, 0.000], [6.407, 2.034, 0.000], [-4.091, 0.000, 8.441]],
  "species": ["Ac", "Ac", "Pr", "Pr", "Pr", "Ru", "Ru"],
  "fractional_positions": [[0.168, 0.168, 0.298], [0.832, 0.832, 0.702], [0.378, 0.378, 0.082], [0.500, 0.500, 0.500], [0.622, 0.622, 0.918], [0.181, 0.181, 0.741], [0.819, 0.819, 0.259]]
}

***

[17]
{
  "formula": "Ac4PrRu2",
  "functional": "PBE-GGA",
  "state": "relaxed",
  "delta_e_f_kj_per_mol_atoms": -9.8,
  "dft_energy_ev_per_atom": -5.782,
  "spacegroup": "P2_1/m",
  "lattice": [[7.778, 0.000, 0.000], [0.000, 7.269, 0.000], [-3.645, 0.000, 8.432]],
  "species": ["Ac", "Ac", "Ac", "Ac", "Ac", "Ac", "Ac", "Ac", "Pr", "Pr", "Ru", "Ru", "Ru", "Ru"],
  "fractional_positions": [[0.186, 0.250, 0.003], [0.209, 0.501, 0.412], [0.209, 0.999, 0.412], [0.267, 0.750, 0.790], [0.733, 0.250, 0.210], [0.791, 0.001, 0.588], [0.791, 0.499, 0.588], [0.814, 0.750, 0.997], [0.500, 0.250, 0.772], [0.500, 0.750, 0.228], [0.121, 0.250, 0.660], [0.475, 0.250, 0.355], [0.525, 0.750, 0.645], [0.879, 0.750, 0.340]]
}

***

[18]
{
  "formula": "AcPr4Ru",
  "functional": "PBE-GGA",
  "state": "relaxed",
  "delta_e_f_kj_per_mol_atoms": -2.7,
  "dft_energy_ev_per_atom": -5.445,
  "spacegroup": "Immm",
  "lattice": [[-3.114, 3.877, 8.620], [3.114, -3.877, 8.620], [3.114, 3.877, -8.620]],
  "species": ["Ac", "Ac", "Pr", "Pr", "Pr", "Pr", "Pr", "Pr", "Pr", "Pr", "Ru", "Ru"],
  "fractional_positions": [[0.201, 0.201, 0.000], [0.799, 0.799, 0.000], [0.149, 0.391, 0.757], [0.209, 0.000, 0.209], [0.335, 0.835, 0.500], [0.366, 0.609, 0.757], [0.634, 0.391, 0.243], [0.665, 0.165, 0.500], [0.791, 0.000, 0.791], [0.851, 0.609, 0.243], [0.500, 0.259, 0.759], [0.500, 0.741, 0.241]]
}

***

[19]
{
  "formula": "Ac7PrRu3",
  "functional": "PBE-GGA",
  "state": "relaxed",
  "delta_e_f_kj_per_mol_atoms": -14.8,
  "dft_energy_ev_per_atom": -5.732,
  "spacegroup": "P3m1",
  "lattice": [[8.474, 0.000, 0.000], [-4.237, 7.339, 0.000], [0.000, 0.000, 6.805]],
  "species": ["Ac", "Ac", "Ac", "Ac", "Ac", "Ac", "Ac", "Pr", "Ru", "Ru", "Ru"],
  "fractional_positions": [[0.000, 0.000, 0.000], [0.164, 0.328, 0.530], [0.164, 0.836, 0.530], [0.504, 0.008, 0.008], [0.504, 0.496, 0.008], [0.672, 0.836, 0.530], [0.992, 0.496, 0.008], [0.667, 0.333, 0.542], [0.335, 0.167, 0.767], [0.833, 0.167, 0.767], [0.833, 0.665, 0.767]]
}

***

[20]
{
  "formula": "Ac2PrRu",
  "functional": "PBE-GGA",
  "state": "relaxed",
  "delta_e_f_kj_per_mol_atoms": 1.3,
  "dft_energy_ev_per_atom": -5.554,
  "e_above_lowest_polymorph_ev_per_atom": 0.1459,
  "spacegroup": "R-3m",
  "lattice": [[2.056, 1.187, 9.821], [-2.056, 1.187, 9.821], [0.000, -2.374, 9.821]],
  "species": ["Ac", "Ac", "Pr", "Ru"],
  "fractional_positions": [[0.224, 0.224, 0.224], [0.776, 0.776, 0.776], [0.000, 0.000, 0.000], [0.500, 0.500, 0.500]]
}

***

[21]
{
  "formula": "Ac2PrRu2",
  "functional": "PBE-GGA",
  "state": "relaxed",
  "delta_e_f_kj_per_mol_atoms": -7.4,
  "dft_energy_ev_per_atom": -6.387,
  "spacegroup": "C2/m",
  "lattice": [[6.196, -2.304, 0.000], [6.196, 2.304, 0.000], [-5.139, 0.000, 9.790]],
  "species": ["Ac", "Ac", "Ac", "Ac", "Pr", "Pr", "Ru", "Ru", "Ru", "Ru"],
  "fractional_positions": [[0.028, 0.028, 0.195], [0.178, 0.178, 0.588], [0.822, 0.822, 0.412], [0.972, 0.972, 0.805], [0.292, 0.292, 0.132], [0.708, 0.708, 0.868], [0.378, 0.378, 0.920], [0.461, 0.461, 0.589], [0.539, 0.539, 0.411], [0.622, 0.622, 0.080]]
}

***

[22]
{
  "formula": "Ac3Pr5Ru2",
  "functional": "PBE-GGA",
  "state": "relaxed",
  "delta_e_f_kj_per_mol_atoms": -0.7,
  "dft_energy_ev_per_atom": -5.485,
  "spacegroup": "Ibam",
  "lattice": [[-6.341, 7.434, 3.651], [6.341, -7.434, 3.651], [6.341, 7.434, -3.651]],
  "species": ["Ac", "Ac", "Ac", "Ac", "Ac", "Ac", "Pr", "Pr", "Pr", "Pr", "Pr", "Pr", "Pr", "Pr", "Pr", "Pr", "Ru", "Ru", "Ru", "Ru"],
  "fractional_positions": [[0.174, 0.242, 0.416], [0.250, 0.250, 0.000], [0.326, 0.742, 0.068], [0.674, 0.258, 0.932], [0.750, 0.750, 0.000], [0.826, 0.758, 0.584], [0.019, 0.750, 0.269], [0.070, 0.714, 0.784], [0.250, 0.750, 0.500], [0.430, 0.214, 0.644], [0.481, 0.750, 0.731], [0.519, 0.250, 0.269], [0.570, 0.786, 0.356], [0.750, 0.250, 0.500], [0.930, 0.286, 0.216], [0.981, 0.250, 0.731], [0.159, 0.895, 0.053], [0.341, 0.395, 0.736], [0.659, 0.605, 0.264], [0.841, 0.105, 0.947]]
}